# ZrCr2F PBE with a Hubbard U optimized geometry
# volume: 143.44 Å³ per cell
# space group: No. 122
# theoretical density: 4.96 g/cm³
# raw total energy: -51.7 eV per cell
data_ZrCr2F
_chemical_formula_sum 'Zr2 Cr4 F2'
_cell_length_a 5.8362
_cell_length_b 5.8362
_cell_length_c 5.8362
_cell_angle_alpha 101.95
_cell_angle_beta 101.95
_cell_angle_gamma 125.88
_space_group_name_H-M_alt 'P 1'
_space_group_IT_number 1
loop_
_space_group_symop_operation_xyz
'x,y,z'
loop_
_atom_site_label
_atom_site_type_symbol
_atom_site_fract_x
_atom_site_fract_y
_atom_site_fract_z
Zr1 Zr 0.0000 0.0000 0.0000
Zr2 Zr 0.7500 0.2500 0.5000
Cr1 Cr 0.1945 0.6250 0.0695
Cr2 Cr 0.3750 0.4445 0.5695
Cr3 Cr 0.5555 0.1250 0.9305
Cr4 Cr 0.8750 0.8055 0.4305
F1 F 0.2500 0.7500 0.5000
F2 F 0.5000 0.5000 0.0000